KLiBe2Tc: relaxed, PBE-GGA.

Calculated values
- E_form: 158.6 kJ per mole of atoms
- D(E_F): 2.7 states/eV/cell

Lattice parameters (Å, degrees): 4.415 4.275 4.415 90.00 90.00 90.00
Last column: magnetic moment on the atom in μB.
Sites, in units of the cell vectors:
Li  0.000  0.000  0.000  -0.11
Tc  0.500  0.500  0.500  1.97
Be  0.000  0.000  0.500  -0.13
Be  0.500  0.000  0.000  -0.08
K  0.000  0.500  0.000  -0.02